First-principles (PBE+U) data for a relaxed structure of FeBBrF2, as listed in Alexandria.

Calculated values
M_tot: 4.00 Bohr magnetons per cell
DOS at the Fermi energy: 7.6 states/eV per cell
energy: -4.00 eV per atom

Cell and atoms, written as CIF:
```
data_FeBBrF2
_cell_length_a 3.924
_cell_length_b 3.924
_cell_length_c 5.776
_cell_angle_alpha 90.00
_cell_angle_beta 90.00
_cell_angle_gamma 90.00
_space_group_name_H-M_alt 'P 4/m m m'
_space_group_IT_number 123
_space_group_name_Hall '-P 4 2'
loop_
_atom_site_label
_atom_site_type_symbol
_atom_site_fract_x
_atom_site_fract_y
_atom_site_fract_z
Fe1 Fe 0.000 0.000 0.000
B1 B 0.500 0.500 0.500
Br1 Br 0.000 0.000 0.500
F1 F 0.000 0.500 0.000
```